# SnGeIr

Crystalline SnGeIr at its relaxed geometry (GGA-PBE, OQMD via LeMat-Bulk).

The structure in extended XYZ format:
```
3
Lattice="1.0304 0.1151 4.2795 -2.9217 -1.3498 3.0051 0.6804 -3.7517 2.2024" Properties=species:S:1:pos:R:3 pbc="T T T"
Ge -0.3027 -1.2466 2.3718
Ir 0.0000 0.0000 0.0000
Sn -0.9082 -3.7398 7.1153
```

The electronic total energy is -18.1 eV per cell. Its space group is F-43m (216). The density is 10.550 g/cm3.